# NpMnCd2O6 PBE with a Hubbard U relaxed
data_NpMnCd2O6
_chemical_formula_sum 'Np3 Mn3 Cd6 O18'
_cell_length_a 5.6758
_cell_length_b 5.6758
_cell_length_c 14.6428
_cell_angle_alpha 90.00
_cell_angle_beta 90.00
_cell_angle_gamma 120.00
_symmetry_space_group_name_H-M 'R -3'
_symmetry_Int_Tables_number 148
_symmetry_space_group_name_Hall '-R 3'
loop_
_atom_site_label
_atom_site_fract_x
_atom_site_fract_y
_atom_site_fract_z
Np1 0.0000 0.0000 0.0000
Mn1 0.0000 0.0000 0.5000
Cd1 0.0000 0.0000 0.2258
O1 0.0169 0.6213 0.7520
# Crystal system: trigonal
# Electronic total energy in eV/atom: -7.079

# NpMn2CdO6 PBE with a Hubbard U relaxed
data_NpMn2CdO6
_chemical_formula_sum 'Np3 Mn6 Cd3 O18'
_cell_length_a 5.5650
_cell_length_b 5.5650
_cell_length_c 15.0107
_cell_angle_alpha 90.00
_cell_angle_beta 90.00
_cell_angle_gamma 120.00
_symmetry_space_group_name_H-M 'R 3'
_symmetry_Int_Tables_number 146
_symmetry_space_group_name_Hall 'R 3'
loop_
_atom_site_label
_atom_site_fract_x
_atom_site_fract_y
_atom_site_fract_z
Np1 0.0000 0.0000 0.0000
Mn1 0.0000 0.0000 0.2083
Mn2 0.0000 0.0000 0.6969
Cd1 0.0000 0.0000 0.4881
O1 0.0051 0.3529 0.2646
O2 0.0512 0.6795 0.7561
# Crystal system: trigonal
# Electronic total energy in eV/atom: -7.855

# NpMnCdO6 PBE with a Hubbard U relaxed
data_NpMnCdO6
_chemical_formula_sum 'Np2 Mn2 Cd2 O12'
_cell_length_a 5.4621
_cell_length_b 5.4621
_cell_length_c 9.0449
_cell_angle_alpha 90.00
_cell_angle_beta 90.00
_cell_angle_gamma 120.00
_symmetry_space_group_name_H-M 'P -3 1 c'
_symmetry_Int_Tables_number 163
_symmetry_space_group_name_Hall '-P 3 2c'
loop_
_atom_site_label
_atom_site_fract_x
_atom_site_fract_y
_atom_site_fract_z
Np1 0.3333 0.6667 0.2500
Mn1 0.0000 0.0000 0.0000
Cd1 0.3333 0.6667 0.7500
O1 0.0414 0.3451 0.1235
# Crystal system: trigonal
# Electronic total energy in eV/atom: -7.458

# MnCd3O6 PBE with a Hubbard U relaxed
data_MnCd3O6
_chemical_formula_sum 'Mn2 Cd6 O12'
_cell_length_a 5.6427
_cell_length_b 5.6427
_cell_length_c 9.5688
_cell_angle_alpha 90.00
_cell_angle_beta 90.00
_cell_angle_gamma 120.00
_symmetry_space_group_name_H-M 'P 63 2 2'
_symmetry_Int_Tables_number 182
_symmetry_space_group_name_Hall 'P 6c 2c'
loop_
_atom_site_label
_atom_site_fract_x
_atom_site_fract_y
_atom_site_fract_z
Mn1 0.3333 0.6667 0.2500
Cd1 0.0000 0.0000 0.0000
Cd2 0.3333 0.6667 0.5753
O1 0.0708 0.3789 0.1333
# Crystal system: hexagonal
# Electronic total energy in eV/atom: -4.750

# MnCd4O5 PBE with a Hubbard U relaxed
data_MnCd4O5
_chemical_formula_sum 'Mn2 Cd8 O10'
_cell_length_a 7.486
_cell_length_b 7.486
_cell_length_c 4.728
_cell_angle_alpha 90.00
_cell_angle_beta 90.00
_cell_angle_gamma 90.00
_symmetry_space_group_name_H-M 'I 4/m'
_symmetry_Int_Tables_number 87
_symmetry_space_group_name_Hall '-I 4'
loop_
_atom_site_label
_atom_site_fract_x
_atom_site_fract_y
_atom_site_fract_z
Mn1 0.000 0.000 0.000
Cd1 0.098 0.701 0.500
O1 0.000 0.000 0.500
O2 0.092 0.712 0.000
# Distance to the lowest polymorph of the same formula in eV per formula unit: 0.045
# Crystal system: tetragonal
# Electronic total energy in eV/atom: -4.722

# MnCdO3 PBE with a Hubbard U relaxed
data_MnCdO3
_chemical_formula_sum 'Mn1 Cd1 O3'
_cell_length_a 3.766
_cell_length_b 3.766
_cell_length_c 3.766
_cell_angle_alpha 90.00
_cell_angle_beta 90.00
_cell_angle_gamma 90.00
_symmetry_space_group_name_H-M 'P m -3 m'
_symmetry_Int_Tables_number 221
_symmetry_space_group_name_Hall '-P 4 2 3'
loop_
_atom_site_label
_atom_site_fract_x
_atom_site_fract_y
_atom_site_fract_z
Mn1 0.000 0.000 0.000
Cd1 0.500 0.500 0.500
O1 0.000 0.000 0.500
# Crystal system: cubic
# Electronic total energy in eV/atom: -5.638

no.,spin magnetization (μB/f.u.)
1,6.00
2,11.00
3,4.00
4,5.04
5,4.98
6,3.21